Record 1
The following is a DFT calculation (PBE-GGA) of HoZrRe after structural relaxation.

Values from the calculation:
V = 22.58 Å³ per atom
calculated formation energy = -0.0110 eV per atom
E above lowest polymorph = 0.0147 eV/atom
size of the total moment = 0.000 μB per atom
density of states at the Fermi level = 1.050 states/eV per atom
final energy = -8.54 eV per atom

Lattice parameters (Å, degrees): 5.2595 10.1680 20.2683 90.00 90.00 90.00
Closest atoms and distances in Å follow each position.
Space group Fddd (No. 70, origin choice 2)
Symmetry-distinct sites (fractional):
Ho 0.1250 0.2831 0.1250 x16  4 Re 2.99-3.01, 3 Ho 3.22-3.23
Zr 0.1250 0.1250 0.5372 x16  4 Re 2.73-2.96
Re 0.1250 0.1250 0.0005 x16  4 Zr 2.73-2.96, 2 Re 2.86, 4 Ho 2.99-3.01

---

Record 2
The following is a DFT calculation (PBE-GGA) of InAuBr6 after structural relaxation.

Values from the calculation:
V = 37.24 Å³ per atom
formation energy without anion corrections = -418 meV per atom
size of the total moment = 0.000 μB per atom
final energy = -2.43 eV per atom

Lattice parameters (Å, degrees): 6.0293 7.2607 7.9200 65.09 71.68 85.49
Closest atoms and distances in Å follow each position.
Space group P-1 (No. 2)
Symmetry-distinct sites (fractional):
In 0.0000 0.0000 0.0000 x1  2 Br 2.52
Au 0.5000 0.5000 0.0000 x1  4 Br 2.48-2.51
Br 0.0383 0.8098 0.3376 x2  1 In 2.52
Br 0.2832 0.3759 0.8412 x2  1 Au 2.51
Br 0.4091 0.8490 0.8017 x2  1 Au 2.48

---

Record 3
The following is a DFT calculation (PBE-GGA) of CaLaY2As4 after structural relaxation.

Values from the calculation:
V = 26.65 Å³ per atom
calculated formation energy = -1.3857 eV per atom
size of the total moment = 0.000 μB per atom
density of states at the Fermi level = 0.558 states/eV per atom
final energy = -6.19 eV per atom

Lattice parameters (Å, degrees): 7.2637 4.2166 7.3729 90.00 109.24 90.00
Closest atoms and distances in Å follow each position.
Space group P2/m (No. 10)
Symmetry-distinct sites (fractional):
Ca 0.0000 0.0000 0.0000 x1  6 As 3.03-3.04
La 0.5000 0.5000 0.0000 x1  6 As 3.04-3.05
Y 0.0000 0.5000 0.5000 x1  6 As 2.93
Y 0.5000 0.0000 0.5000 x1  6 As 2.94
As 0.2443 0.0000 0.7367 x2  3 Y 2.93-2.94, 1 Ca 3.03, 2 La 3.05
As 0.2538 0.5000 0.2628 x2  3 Y 2.93-2.94, 1 La 3.04, 2 Ca 3.04

---

Record 4
The following is a DFT calculation (PBE-GGA) of Tb3Tm5Sb8 after structural relaxation.

Values from the calculation:
V = 29.34 Å³ per atom
formation energy without anion corrections = -1096 meV per atom
size of the total moment = 0.000 μB per atom
density of states at the Fermi level = 0.173 states/eV per atom
final energy = -5.42 eV per atom

Lattice parameters (Å, degrees): 8.7244 8.7244 21.3655 90.00 90.00 120.00
Closest atoms and distances in Å follow each position.
Space group R-3m (No. 166, hexagonal axes)
Symmetry-distinct sites (fractional):
Tb 0.0000 0.5000 0.0000 x9  6 Sb 3.10
Tm 0.0000 0.0000 0.0000 x3  6 Sb 3.08
Tm 0.0000 0.0000 0.5000 x3  6 Sb 3.08
Tm 0.0000 0.5000 0.5000 x9  6 Sb 3.07
Sb 0.0000 0.0000 0.2484 x6  3 Tm 3.07, 3 Tb 3.10
Sb 0.0020 0.5010 0.7510 x18  4 Tm 3.07-3.08, 2 Tb 3.10

---

Record 5
The following is a DFT calculation (PBE-GGA) of SrHgMo2 after structural relaxation.

Values from the calculation:
V = 21.43 Å³ per atom
calculated formation energy = 1.0056 eV per atom
size of the total moment = 0.001 μB per atom
density of states at the Fermi level = 1.303 states/eV per atom
final energy = -4.91 eV per atom

Lattice parameters (Å, degrees): 4.1275 4.1275 10.0647 90.00 90.00 90.00
Closest atoms and distances in Å follow each position.
Space group I4/mmm (No. 139)
Symmetry-distinct sites (fractional):
Sr 0.0000 0.0000 0.0000 x2  4 Hg 2.92, 8 Mo 3.25
Hg 0.0000 0.0000 0.5000 x2  4 Sr 2.92, 8 Mo 3.25
Mo 0.0000 0.5000 0.2500 x4  4 Mo 2.92, 4 Hg 3.25, 4 Sr 3.25

---

Record 6
The following is a DFT calculation (PBE-GGA) of NaMnPd2 after structural relaxation.

Values from the calculation:
V = 17.65 Å³ per atom
calculated formation energy = 0.0317 eV per atom
E above lowest polymorph = 0.1904 eV/atom
size of the total moment = 1.119 μB per atom
density of states at the Fermi level = 0.466 states/eV per atom
final energy = -5.19 eV per atom

Lattice parameters (Å, degrees): 2.9164 2.9164 28.7570 90.00 90.00 120.00
Closest atoms and distances in Å follow each position.
Space group R-3m (No. 166, hexagonal axes)
Symmetry-distinct sites (fractional):
Na 0.0000 0.0000 0.0000 x3  2 Pd 2.76, 6 Na 2.92
Mn 0.0000 0.0000 0.5000 x3  6 Pd 2.64, 6 Mn 2.92
Pd 0.0000 0.0000 0.0960 x6  3 Mn 2.64, 1 Na 2.76, 6 Pd 2.92

---

Record 7
The following is a DFT calculation (PBE-GGA) of KBaMo2 after structural relaxation.

Values from the calculation:
V = 23.75 Å³ per atom
calculated formation energy = 1.5352 eV per atom
E above lowest polymorph = 0.7613 eV/atom
size of the total moment = 0.000 μB per atom
density of states at the Fermi level = 0.900 states/eV per atom
final energy = -4.64 eV per atom

Lattice parameters (Å, degrees): 4.0233 4.0233 11.7369 90.00 90.00 90.00
Closest atoms and distances in Å follow each position.
Space group I4/mmm (No. 139)
Symmetry-distinct sites (fractional):
K 0.0000 0.0000 0.0000 x2  4 Ba 2.84
Ba 0.0000 0.0000 0.5000 x2  4 K 2.84
Mo 0.0000 0.5000 0.2500 x4  4 Mo 2.84

---

Record 8
The following is a DFT calculation (PBE-GGA) of SrMg2Re after structural relaxation.

Values from the calculation:
V = 22.15 Å³ per atom
calculated formation energy = 0.5662 eV per atom
E above lowest polymorph = 0.0393 eV/atom
size of the total moment = 0.000 μB per atom
density of states at the Fermi level = 0.757 states/eV per atom
final energy = -3.76 eV per atom

Lattice parameters (Å, degrees): 9.9270 2.8834 6.2144 90.00 95.07 90.00
Closest atoms and distances in Å follow each position.
Space group C2/m (No. 12)
Symmetry-distinct sites (fractional):
Sr 0.0000 0.0000 0.0000 x2  2 Sr 2.88, 2 Mg 3.15
Mg 0.2372 0.0000 0.6949 x4  4 Mg 2.85-2.88, 3 Re 2.93-2.97, 1 Sr 3.15
Re 0.0000 0.5000 0.5000 x2  2 Re 2.88, 6 Mg 2.93-2.97